Entry 1:
LiPrNdMn: relaxed, GGA-PBE.

Cell and atoms, written as POSCAR:
```
LiPrNdMn
1.0
7.4116 0.0000 0.0000
0.0000 7.4116 0.0000
0.0000 0.0000 7.4116
Li Pr Nd Mn
4 4 4 4
Direct
0.0000 0.0000 0.0000 Li
0.0000 0.5000 0.5000 Li
0.5000 0.0000 0.5000 Li
0.5000 0.5000 0.0000 Li
0.2500 0.2500 0.7500 Pr
0.2500 0.7500 0.2500 Pr
0.7500 0.2500 0.2500 Pr
0.7500 0.7500 0.7500 Pr
0.2500 0.2500 0.2500 Nd
0.2500 0.7500 0.7500 Nd
0.7500 0.2500 0.7500 Nd
0.7500 0.7500 0.2500 Nd
0.0000 0.0000 0.5000 Mn
0.0000 0.5000 0.0000 Mn
0.5000 0.0000 0.0000 Mn
0.5000 0.5000 0.5000 Mn
```

Values from the calculation:
The final energy comes out at -79.75 eV/cell. The value obtained for the total moment is 2.8 μB per formula unit. The value obtained for the energy of formation is 174 meV per atom. For the theoretical density, the calculation gives 5662 kg/m³.

Entry 2:
PmMnPd4: relaxed, GGA-PBE.

Cell and atoms, written as POSCAR:
```
PmMnPd4
1.0
0.0000 3.7944 3.7944
3.7944 0.0000 3.7944
3.7944 3.7944 0.0000
Pm Mn Pd
1 1 4
Direct
0.0000 0.0000 0.0000 Pm
0.7500 0.7500 0.7500 Mn
0.3757 0.3757 0.3757 Pd
0.3757 0.3757 0.8730 Pd
0.3757 0.8730 0.3757 Pd
0.8730 0.3757 0.3757 Pd
```

Values from the calculation:
The final energy comes out at -37.36 eV/cell. The value obtained for the total moment is 4.9 μB per formula unit. The value obtained for the energy of formation is -445 meV per atom. For the theoretical density, the calculation gives 9508 kg/m³.

Entry 3:
Pm12YRh4: relaxed, GGA-PBE.

Cell and atoms, written as POSCAR:
```
Pm12YRh4
1.0
-5.1996 5.1996 5.1996
5.1996 -5.1996 5.1996
5.1996 5.1996 -5.1996
Pm Y Rh
12 1 4
Direct
0.1408 0.8263 0.3145 Pm
0.1737 0.3145 0.4882 Pm
0.1737 0.6855 0.8592 Pm
0.3145 0.1408 0.8263 Pm
0.3145 0.4882 0.1737 Pm
0.4882 0.1737 0.3145 Pm
0.5118 0.8263 0.6855 Pm
0.6855 0.5118 0.8263 Pm
0.6855 0.8592 0.1737 Pm
0.8263 0.3145 0.1408 Pm
0.8263 0.6855 0.5118 Pm
0.8592 0.1737 0.6855 Pm
0.0000 0.0000 0.0000 Y
0.0000 0.0000 0.5000 Rh
0.0000 0.5000 0.0000 Rh
0.5000 0.0000 0.0000 Rh
0.5000 0.5000 0.5000 Rh
```

Values from the calculation:
The final energy comes out at -96.87 eV/cell. The value obtained for the total moment is 0.0 μB per formula unit. The value obtained for the energy of formation is -235 meV per atom. For the theoretical density, the calculation gives 6616 kg/m³.

Entry 4:
NbB2Ir: relaxed, GGA-PBE.

Cell and atoms, written as POSCAR:
```
NbB2Ir
1.0
5.6232 0.0000 0.0000
0.0000 5.6232 0.0000
0.0000 0.0000 5.6232
Nb B Ir
4 8 4
Direct
0.0000 0.0000 0.0000 Nb
0.0000 0.5000 0.5000 Nb
0.5000 0.0000 0.5000 Nb
0.5000 0.5000 0.0000 Nb
0.2500 0.2500 0.2500 B
0.2500 0.2500 0.7500 B
0.2500 0.7500 0.2500 B
0.2500 0.7500 0.7500 B
0.7500 0.2500 0.2500 B
0.7500 0.2500 0.7500 B
0.7500 0.7500 0.2500 B
0.7500 0.7500 0.7500 B
0.0000 0.0000 0.5000 Ir
0.0000 0.5000 0.0000 Ir
0.5000 0.0000 0.0000 Ir
0.5000 0.5000 0.5000 Ir
```

Values from the calculation:
The final energy comes out at -126.04 eV/cell. The value obtained for the total moment is 0.0 μB per formula unit. The value obtained for the energy of formation is 194 meV per atom. For the theoretical density, the calculation gives 11459 kg/m³. Its energy above the most stable polymorph in this dataset is 0 meV/atom.

Entry 5:
TbSm2ScBi5: relaxed, GGA-PBE.

Cell and atoms, written as POSCAR:
```
TbSm2ScBi5
1.0
5.4911 0.0000 0.0000
0.0000 5.4911 0.0000
0.0000 0.0000 11.5423
Tb Sm Sc Bi
1 2 1 5
Direct
0.0000 0.0000 0.0000 Tb
0.5000 0.5000 0.2210 Sm
0.5000 0.5000 0.7790 Sm
0.0000 0.0000 0.5000 Sc
0.0000 0.0000 0.2613 Bi
0.0000 0.0000 0.7387 Bi
0.0000 0.5000 0.0000 Bi
0.5000 0.0000 0.0000 Bi
0.5000 0.5000 0.5000 Bi
```

Values from the calculation:
The final energy comes out at -39.91 eV/cell. The value obtained for the total moment is 0.0 μB per formula unit. The value obtained for the energy of formation is -11 meV per atom. For the theoretical density, the calculation gives 7393 kg/m³.

Entry 6:
LiBeIn2: relaxed, GGA-PBE.

Cell and atoms, written as POSCAR:
```
LiBeIn2
1.0
8.5840 0.0000 0.0000
0.0000 3.0367 0.0000
-1.1427 0.0000 5.9356
Li Be In
2 2 4
Direct
0.0000 0.0000 0.0000 Li
0.5000 0.5000 0.0000 Li
0.0000 0.5000 0.5000 Be
0.5000 0.0000 0.5000 Be
0.2442 0.0000 0.7310 In
0.2558 0.5000 0.2690 In
0.7442 0.5000 0.7310 In
0.7558 0.0000 0.2690 In
```

Values from the calculation:
The final energy comes out at -20.79 eV/cell. The value obtained for the total moment is 0.0 μB per formula unit. The value obtained for the energy of formation is 181 meV per atom. For the theoretical density, the calculation gives 5271 kg/m³.

Entry 7:
ReNiMo: relaxed, GGA-PBE.

Cell and atoms, written as POSCAR:
```
ReNiMo
1.0
2.5769 0.0000 0.0000
0.0000 4.0417 0.0000
0.0000 0.0000 8.1317
Re Ni Mo
2 2 2
Direct
0.0000 0.0000 0.0000 Re
0.5000 0.5000 0.5000 Re
0.0000 0.0000 0.3421 Ni
0.5000 0.5000 0.8421 Ni
0.0000 0.0000 0.6753 Mo
0.5000 0.5000 0.1753 Mo
```

Values from the calculation:
The final energy comes out at -57.68 eV/cell. The value obtained for the total moment is 0.0 μB per formula unit. The value obtained for the energy of formation is 73 meV per atom. For the theoretical density, the calculation gives 13365 kg/m³. Its energy above the most stable polymorph in this dataset is 84 meV/atom.

Entry 8:
Ac2Ge3Pt4Pb: relaxed, GGA-PBE.

Cell and atoms, written as POSCAR:
```
Ac2Ge3Pt4Pb
1.0
4.5419 0.0000 0.0000
0.0000 4.5419 0.0000
0.0000 0.0000 10.6495
Ac Ge Pt Pb
2 3 4 1
Direct
0.0000 0.5000 0.2378 Ac
0.5000 0.0000 0.7622 Ac
0.0000 0.5000 0.8837 Ge
0.5000 0.0000 0.1163 Ge
0.5000 0.5000 0.5000 Ge
0.0000 0.0000 0.0000 Pt
0.0000 0.5000 0.6507 Pt
0.5000 0.0000 0.3493 Pt
0.5000 0.5000 0.0000 Pt
0.0000 0.0000 0.5000 Pb
```

Values from the calculation:
The final energy comes out at -58.29 eV/cell. The value obtained for the total moment is 0.0 μB per formula unit. The value obtained for the energy of formation is -835 meV per atom. For the theoretical density, the calculation gives 12543 kg/m³.